Density functional theory data (PBE-GGA) for a geometry-optimized TlHgBiSe3 structure.

The calculation puts the calculated total energy at -18.9 eV/f.u. As for the raw formation energy: -7.38 kcal/mol of atoms.

The space group is P2_1/m (No. 11) and the conventional cell measures 8.986, 4.341 and 9.948 Å, with angles of 90.00, 102.67 and 90.00 degrees. Symmetry generates all atoms from Tl at (0.195, 0.250, 0.231), Hg at (0.098, 0.250, 0.611), Bi at (0.333, 0.750, 0.870), Se at (0.111, 0.250, 0.885), Se at (0.227, 0.750, 0.520) and Se at (0.440, 0.750, 0.154).

Density functional theory data (PBE-GGA) for a geometry-optimized Tm4HgBiSe2 structure.

The calculation puts the calculated total energy at -37.8 eV/f.u. As for the raw formation energy: -25.23 kcal/mol of atoms.

The space group is P2/m (No. 10) and the conventional cell measures 6.961, 4.085 and 7.659 Å, with angles of 90.00, 107.97 and 90.00 degrees. Symmetry generates all atoms from Tm at (0.237, 0.000, 0.229), Tm at (0.248, 0.500, 0.769), Hg at (0.000, 0.000, 0.500), Bi at (0.500, 0.500, 0.500), Se at (0.000, 0.500, 0.000) and Se at (0.500, 0.000, 0.000).